DyTm7Th3: relaxed, PBE-GGA.

Properties
Energy above the most stable polymorph in this dataset: 0.0000 eV/atom
DFT formation energy: 0.158 eV per atom
Density of states at the Fermi level: 15.0 states/eV/cell
Symmetry: P2/m (10)
Magnetic moment: 0.00 μB/f.u.

a = 6.862 Å, b = 5.460 Å, c = 10.013 Å
α = 90.00°, β = 109.84°, γ = 90.00°
Sites, in units of the cell vectors:
Dy  0.000  0.000  0.000
Tm  0.086  0.000  0.670
Tm  0.175  0.500  0.861
Tm  0.361  0.500  0.207
Tm  0.500  0.000  0.500
Tm  0.639  0.500  0.793
Tm  0.825  0.500  0.139
Tm  0.914  0.000  0.330
Th  0.222  0.500  0.501
Th  0.500  0.000  0.000
Th  0.778  0.500  0.499


Dy3Tm6Th2: relaxed, PBE-GGA.

Properties
DFT formation energy: 0.212 eV per atom
Density of states at the Fermi level: 16.6 states/eV/cell
Symmetry: C2/m (12)
Magnetic moment: 0.00 μB/f.u.

a = 6.063 Å, b = 6.063 Å, c = 11.456 Å
α = 95.18°, β = 95.18°, γ = 120.17°
Sites, in units of the cell vectors:
Dy  0.000  0.000  0.000
Dy  0.335  0.665  0.000
Dy  0.665  0.335  0.000
Tm  0.085  0.418  0.253
Tm  0.248  0.248  0.748
Tm  0.418  0.085  0.253
Tm  0.582  0.915  0.747
Tm  0.752  0.752  0.252
Tm  0.915  0.582  0.747
Th  0.165  0.835  0.500
Th  0.835  0.165  0.500


DyTm4Th: relaxed, PBE-GGA.

Properties
Energy above the most stable polymorph in this dataset: 0.0000 eV/atom
DFT formation energy: 0.000 eV per atom
Density of states at the Fermi level: 15.4 states/eV/cell
Symmetry: Cmc2_1 (36)
Magnetic moment: 0.00 μB/f.u.

a = 9.307 Å, b = 9.307 Å, c = 11.356 Å
α = 90.00°, β = 90.00°, γ = 158.03°
Sites, in units of the cell vectors:
Dy  0.221  0.779  0.500
Dy  0.779  0.221  0.000
Tm  0.002  0.998  0.254
Tm  0.112  0.888  0.006
Tm  0.332  0.668  0.252
Tm  0.445  0.555  0.001
Tm  0.555  0.445  0.501
Tm  0.668  0.332  0.752
Tm  0.888  0.112  0.506
Tm  0.998  0.002  0.754
Th  0.334  0.666  0.752
Th  0.666  0.334  0.252


Dy6TmTh2: relaxed, PBE-GGA.

Properties
Energy above the most stable polymorph in this dataset: 0.0405 eV/atom
DFT formation energy: 0.070 eV per atom
Density of states at the Fermi level: 18.0 states/eV/cell
Symmetry: P-6m2 (187)
Magnetic moment: 0.01 μB/f.u.

a = 3.556 Å, b = 3.556 Å, c = 26.209 Å
α = 90.00°, β = 90.00°, γ = 120.00°
Sites, in units of the cell vectors:
Dy  0.000  0.000  0.064
Dy  0.000  0.000  0.284
Dy  0.000  0.000  0.716
Dy  0.000  0.000  0.936
Dy  0.333  0.667  0.393
Dy  0.333  0.667  0.607
Tm  0.000  0.000  0.500
Th  0.333  0.667  0.172
Th  0.333  0.667  0.828